# Zr2ScW (PBE, optimized geometry)
# Total magnetic moment   0.49 μB per cell
# Calculated total energy   -141.38 eV per cell
data_Zr2ScW
_chemical_formula_sum 'Zr8 Sc4 W4'
_symmetry_space_group_name_H-M 'F -4 3 m'
_symmetry_Int_Tables_number 216
_symmetry_space_group_name_Hall 'F -4 2 3'
_cell_length_a 6.885
_cell_length_b 6.885
_cell_length_c 6.885
_cell_angle_alpha 90.00
_cell_angle_beta 90.00
_cell_angle_gamma 90.00
loop_
_atom_site_label
_atom_site_type_symbol
_atom_site_fract_x
_atom_site_fract_y
_atom_site_fract_z
_atom_site_occupancy
Zr1 Zr 0.000 0.000 0.000 1
Zr2 Zr 0.250 0.250 0.250 1
Sc1 Sc 0.000 0.000 0.500 1
W1 W 0.250 0.250 0.750 1



# CsLiOs (PBE, optimized geometry)
# Total magnetic moment   8.00 μB per cell
# Calculated total energy   -34.66 eV per cell
# Excess energy over the best structure of this formula in the dataset   10 meV per atom
data_CsLiOs
_chemical_formula_sum 'Cs4 Li4 Os4'
_symmetry_space_group_name_H-M 'F -4 3 m'
_symmetry_Int_Tables_number 216
_symmetry_space_group_name_Hall 'F -4 2 3'
_cell_length_a 7.181
_cell_length_b 7.181
_cell_length_c 7.181
_cell_angle_alpha 90.00
_cell_angle_beta 90.00
_cell_angle_gamma 90.00
loop_
_atom_site_label
_atom_site_type_symbol
_atom_site_fract_x
_atom_site_fract_y
_atom_site_fract_z
_atom_site_occupancy
Cs1 Cs 0.000 0.000 0.000 1
Li1 Li 0.000 0.000 0.500 1
Os1 Os 0.250 0.250 0.250 1



# BeNiBOs (PBE, optimized geometry)
# Total magnetic moment   0.00 μB per cell
# Calculated total energy   -103.97 eV per cell
# Excess energy over the best structure of this formula in the dataset   0 meV per atom
data_BeNiBOs
_chemical_formula_sum 'Be4 Ni4 B4 Os4'
_symmetry_space_group_name_H-M 'F -4 3 m'
_symmetry_Int_Tables_number 216
_symmetry_space_group_name_Hall 'F -4 2 3'
_cell_length_a 5.456
_cell_length_b 5.456
_cell_length_c 5.456
_cell_angle_alpha 90.00
_cell_angle_beta 90.00
_cell_angle_gamma 90.00
loop_
_atom_site_label
_atom_site_type_symbol
_atom_site_fract_x
_atom_site_fract_y
_atom_site_fract_z
_atom_site_occupancy
Be1 Be 0.000 0.000 0.000 1
Ni1 Ni 0.250 0.250 0.750 1
B1 B 0.250 0.250 0.250 1
Os1 Os 0.000 0.000 0.500 1



# PmNbPb (PBE, optimized geometry)
# Total magnetic moment   15.00 μB per cell
# Calculated total energy   -63.21 eV per cell
# Excess energy over the best structure of this formula in the dataset   455 meV per atom
data_PmNbPb
_chemical_formula_sum 'Pm4 Nb4 Pb4'
_symmetry_space_group_name_H-M 'F -4 3 m'
_symmetry_Int_Tables_number 216
_symmetry_space_group_name_Hall 'F -4 2 3'
_cell_length_a 7.263
_cell_length_b 7.263
_cell_length_c 7.263
_cell_angle_alpha 90.00
_cell_angle_beta 90.00
_cell_angle_gamma 90.00
loop_
_atom_site_label
_atom_site_type_symbol
_atom_site_fract_x
_atom_site_fract_y
_atom_site_fract_z
_atom_site_occupancy
Pm1 Pm 0.000 0.000 0.000 1
Nb1 Nb 0.250 0.250 0.750 1
Pb1 Pb 0.250 0.250 0.250 1



# RbBaDyTe3 (PBE, optimized geometry)
# Total magnetic moment   0.01 μB per cell
# Calculated total energy   -102.14 eV per cell
# Excess energy over the best structure of this formula in the dataset   0 meV per atom
data_RbBaDyTe3
_chemical_formula_sum 'Rb4 Ba4 Dy4 Te12'
_symmetry_space_group_name_H-M 'P n m a'
_symmetry_Int_Tables_number 62
_symmetry_space_group_name_Hall '-P 2ac 2n'
_cell_length_a 14.127
_cell_length_b 4.627
_cell_length_c 15.032
_cell_angle_alpha 90.00
_cell_angle_beta 90.00
_cell_angle_gamma 90.00
loop_
_atom_site_label
_atom_site_type_symbol
_atom_site_fract_x
_atom_site_fract_y
_atom_site_fract_z
_atom_site_occupancy
Rb1 Rb 0.119 0.250 0.070 1
Ba1 Ba 0.128 0.250 0.417 1
Dy1 Dy 0.103 0.250 0.743 1
Te1 Te 0.107 0.750 0.253 1
Te2 Te 0.123 0.750 0.599 1
Te3 Te 0.132 0.750 0.875 1



# TmSnGeTe3 (PBE, optimized geometry)
# Total magnetic moment   0.05 μB per cell
# Calculated total energy   -100.67 eV per cell
data_TmSnGeTe3
_chemical_formula_sum 'Tm4 Sn4 Ge4 Te12'
_symmetry_space_group_name_H-M 'C m c m'
_symmetry_Int_Tables_number 63
_symmetry_space_group_name_Hall '-C 2c 2'
_cell_length_a 4.342
_cell_length_b 14.804
_cell_length_c 11.099
_cell_angle_alpha 90.00
_cell_angle_beta 90.00
_cell_angle_gamma 90.00
loop_
_atom_site_label
_atom_site_type_symbol
_atom_site_fract_x
_atom_site_fract_y
_atom_site_fract_z
_atom_site_occupancy
Tm1 Tm 0.000 0.000 0.000 1
Sn1 Sn 0.000 0.238 0.250 1
Ge1 Ge 0.000 0.462 0.750 1
Te1 Te 0.000 0.100 0.750 1
Te2 Te 0.000 0.353 0.536 1



# InCuPtS3 (PBE, optimized geometry)
# Total magnetic moment   0.00 μB per cell
# Calculated total energy   -105.79 eV per cell
data_InCuPtS3
_chemical_formula_sum 'In4 Cu4 Pt4 S12'
_symmetry_space_group_name_H-M 'C m c m'
_symmetry_Int_Tables_number 63
_symmetry_space_group_name_Hall '-C 2c 2'
_cell_length_a 3.636
_cell_length_b 11.938
_cell_length_c 10.158
_cell_angle_alpha 90.00
_cell_angle_beta 90.00
_cell_angle_gamma 90.00
loop_
_atom_site_label
_atom_site_type_symbol
_atom_site_fract_x
_atom_site_fract_y
_atom_site_fract_z
_atom_site_occupancy
In1 In 0.000 0.193 0.250 1
Cu1 Cu 0.000 0.130 0.750 1
Pt1 Pt 0.000 0.500 0.000 1
S1 S 0.000 0.130 0.522 1
S2 S 0.000 0.481 0.750 1



# Hf2TeAs2S (PBE, optimized geometry)
# Total magnetic moment   0.00 μB per cell
# Calculated total energy   -83.83 eV per cell
data_Hf2TeAs2S
_chemical_formula_sum 'Hf4 Te2 As4 S2'
_symmetry_space_group_name_H-M 'I m m 2'
_symmetry_Int_Tables_number 44
_symmetry_space_group_name_Hall 'I 2 -2'
_cell_length_a 3.649
_cell_length_b 5.328
_cell_length_c 12.936
_cell_angle_alpha 90.00
_cell_angle_beta 90.00
_cell_angle_gamma 90.00
loop_
_atom_site_label
_atom_site_type_symbol
_atom_site_fract_x
_atom_site_fract_y
_atom_site_fract_z
_atom_site_occupancy
Hf1 Hf 0.000 0.000 0.000 1
Hf2 Hf 0.000 0.000 0.256 1
Te1 Te 0.000 0.500 0.925 1
As1 As 0.000 0.240 0.631 1
S1 S 0.000 0.500 0.347 1